[1]
! Pr6ErTm12 | Alexandria via LeMat-Bulk | PBE | relaxed; values from VASP
&SYSTEM
  ibrav = 0, nat = 19, ntyp = 3
/
ATOMIC_SPECIES
Pr 140.91 Pr.upf
Er 167.26 Er.upf
Tm 168.93 Tm.upf
CELL_PARAMETERS angstrom
5.530 3.193 5.824
-5.530 3.193 5.824
0.000 -6.386 5.824
ATOMIC_POSITIONS crystal
Pr 0.266 0.266 0.665
Pr 0.266 0.665 0.266
Pr 0.335 0.734 0.734
Pr 0.665 0.266 0.266
Pr 0.734 0.335 0.734
Pr 0.734 0.734 0.335
Er 0.500 0.500 0.500
Tm 0.012 0.012 0.695
Tm 0.012 0.695 0.012
Tm 0.016 0.362 0.362
Tm 0.305 0.988 0.988
Tm 0.362 0.016 0.362
Tm 0.362 0.362 0.016
Tm 0.638 0.638 0.984
Tm 0.638 0.984 0.638
Tm 0.695 0.012 0.012
Tm 0.984 0.638 0.638
Tm 0.988 0.305 0.988
Tm 0.988 0.988 0.305
! M_tot, μB/cell: 0.0
! Fermi-level density of states, states/eV per cell: 28.25
! Energy of formation, meV/atom: 130

[2]
! Pr2Er4Tm3 | Alexandria via LeMat-Bulk | PBE | relaxed; values from VASP
&SYSTEM
  ibrav = 0, nat = 18, ntyp = 3
/
ATOMIC_SPECIES
Pr 140.91 Pr.upf
Er 167.26 Er.upf
Tm 168.93 Tm.upf
CELL_PARAMETERS angstrom
8.074 -5.787 0.000
8.074 5.787 0.000
-0.667 0.000 6.080
ATOMIC_POSITIONS crystal
Pr 0.024 0.731 0.679
Pr 0.269 0.976 0.821
Pr 0.731 0.024 0.179
Pr 0.976 0.269 0.321
Er 0.079 0.355 0.848
Er 0.314 0.592 0.985
Er 0.355 0.079 0.348
Er 0.408 0.686 0.515
Er 0.592 0.314 0.485
Er 0.645 0.921 0.652
Er 0.686 0.408 0.015
Er 0.921 0.645 0.152
Tm 0.099 0.901 0.250
Tm 0.238 0.434 0.403
Tm 0.434 0.238 0.903
Tm 0.566 0.762 0.097
Tm 0.762 0.566 0.597
Tm 0.901 0.099 0.750
! M_tot, μB/cell: 0.0
! Fermi-level density of states, states/eV per cell: 23.96
! Energy of formation, meV/atom: 96

[3]
! PrEr3Tm3 | Alexandria via LeMat-Bulk | PBE | relaxed; values from VASP
&SYSTEM
  ibrav = 0, nat = 14, ntyp = 3
/
ATOMIC_SPECIES
Pr 140.91 Pr.upf
Er 167.26 Er.upf
Tm 168.93 Tm.upf
CELL_PARAMETERS angstrom
4.272 2.467 7.220
-4.272 2.467 7.220
0.000 -4.933 7.220
ATOMIC_POSITIONS crystal
Pr 0.150 0.150 0.150
Pr 0.850 0.850 0.850
Er 0.071 0.563 0.230
Er 0.230 0.071 0.563
Er 0.437 0.770 0.929
Er 0.563 0.230 0.071
Er 0.770 0.929 0.437
Er 0.929 0.437 0.770
Tm 0.215 0.672 0.435
Tm 0.328 0.565 0.785
Tm 0.435 0.215 0.672
Tm 0.565 0.785 0.328
Tm 0.672 0.435 0.215
Tm 0.785 0.328 0.565
! M_tot, μB/cell: 0.0
! Fermi-level density of states, states/eV per cell: 22.76
! Energy of formation, meV/atom: 218

[4]
! Pr4Er6Tm | Alexandria via LeMat-Bulk | PBE | relaxed; values from VASP
&SYSTEM
  ibrav = 0, nat = 11, ntyp = 3
/
ATOMIC_SPECIES
Pr 140.91 Pr.upf
Er 167.26 Er.upf
Tm 168.93 Tm.upf
CELL_PARAMETERS angstrom
11.027 0.000 0.000
-5.514 9.550 0.000
0.000 0.000 3.558
ATOMIC_POSITIONS crystal
Pr 0.000 0.000 0.000
Pr 0.001 0.501 0.500
Pr 0.499 0.501 0.500
Pr 0.499 0.999 0.500
Er 0.173 0.345 0.000
Er 0.173 0.827 0.000
Er 0.310 0.155 0.500
Er 0.655 0.827 0.000
Er 0.845 0.155 0.500
Er 0.845 0.690 0.500
Tm 0.667 0.333 0.000
! M_tot, μB/cell: 0.0
! Fermi-level density of states, states/eV per cell: 16.81
! Energy of formation, meV/atom: 172

[5]
! Pr3Er8Tm2 | Alexandria via LeMat-Bulk | PBE | relaxed; values from VASP
&SYSTEM
  ibrav = 0, nat = 13, ntyp = 3
/
ATOMIC_SPECIES
Pr 140.91 Pr.upf
Er 167.26 Er.upf
Tm 168.93 Tm.upf
CELL_PARAMETERS angstrom
9.944 -3.862 0.000
9.944 3.862 0.000
-0.005 0.000 5.616
ATOMIC_POSITIONS crystal
Pr 0.000 0.000 0.000
Pr 0.294 0.706 0.500
Pr 0.706 0.294 0.500
Er 0.136 0.136 0.499
Er 0.181 0.597 0.000
Er 0.327 0.327 0.499
Er 0.403 0.819 0.000
Er 0.597 0.181 0.000
Er 0.673 0.673 0.501
Er 0.819 0.403 0.000
Er 0.864 0.864 0.501
Tm 0.241 0.241 0.999
Tm 0.759 0.759 0.001
! M_tot, μB/cell: 0.0
! Fermi-level density of states, states/eV per cell: 20.75
! Energy of formation, meV/atom: 253

[6]
! PrErTm6 | Alexandria via LeMat-Bulk | PBE | relaxed; values from VASP
&SYSTEM
  ibrav = 0, nat = 8, ntyp = 3
/
ATOMIC_SPECIES
Pr 140.91 Pr.upf
Er 167.26 Er.upf
Tm 168.93 Tm.upf
CELL_PARAMETERS angstrom
7.037 0.000 0.000
0.000 7.037 0.000
0.000 0.000 4.963
ATOMIC_POSITIONS crystal
Pr 0.000 0.000 0.000
Er 0.500 0.500 0.000
Tm 0.000 0.500 0.000
Tm 0.252 0.252 0.500
Tm 0.252 0.748 0.500
Tm 0.500 0.000 0.000
Tm 0.748 0.252 0.500
Tm 0.748 0.748 0.500
! M_tot, μB/cell: 0.0
! Fermi-level density of states, states/eV per cell: 9.93
! Energy of formation, meV/atom: 26

[7]
! PrEr6Tm | Alexandria via LeMat-Bulk | PBE | relaxed; values from VASP
&SYSTEM
  ibrav = 0, nat = 8, ntyp = 3
/
ATOMIC_SPECIES
Pr 140.91 Pr.upf
Er 167.26 Er.upf
Tm 168.93 Tm.upf
CELL_PARAMETERS angstrom
6.502 0.000 0.000
-0.030 6.504 0.000
-3.164 -3.091 5.939
ATOMIC_POSITIONS crystal
Pr 0.000 0.000 0.000
Er 0.237 0.562 0.473
Er 0.253 0.501 0.999
Er 0.268 0.091 0.536
Er 0.732 0.909 0.464
Er 0.747 0.499 0.001
Er 0.763 0.438 0.527
Tm 0.500 0.000 0.000
! M_tot, μB/cell: 0.0
! Fermi-level density of states, states/eV per cell: 12.65
! Energy of formation, meV/atom: 209

[8]
! Pr3Er4Tm8 | Alexandria via LeMat-Bulk | PBE | relaxed; values from VASP
&SYSTEM
  ibrav = 0, nat = 15, ntyp = 3
/
ATOMIC_SPECIES
Pr 140.91 Pr.upf
Er 167.26 Er.upf
Tm 168.93 Tm.upf
CELL_PARAMETERS angstrom
6.644 -6.420 0.000
6.644 6.420 0.000
-3.344 0.000 5.777
ATOMIC_POSITIONS crystal
Pr 0.000 0.000 0.000
Pr 0.000 0.500 0.000
Pr 0.500 0.000 0.000
Er 0.000 0.500 0.500
Er 0.500 0.000 0.500
Er 0.500 0.500 0.000
Er 0.500 0.500 0.500
Tm 0.138 0.862 0.500
Tm 0.235 0.235 0.972
Tm 0.239 0.239 0.496
Tm 0.249 0.751 0.000
Tm 0.751 0.249 0.000
Tm 0.761 0.761 0.504
Tm 0.765 0.765 0.028
Tm 0.862 0.138 0.500
! M_tot, μB/cell: 0.0
! Fermi-level density of states, states/eV per cell: 29.76
! Energy of formation, meV/atom: 404

[9]
! Pr4Er5Tm | Alexandria via LeMat-Bulk | PBE | relaxed; values from VASP
&SYSTEM
  ibrav = 0, nat = 10, ntyp = 3
/
ATOMIC_SPECIES
Pr 140.91 Pr.upf
Er 167.26 Er.upf
Tm 168.93 Tm.upf
CELL_PARAMETERS angstrom
3.523 0.000 0.000
1.742 8.551 0.000
0.018 0.012 11.327
ATOMIC_POSITIONS crystal
Pr 0.034 0.435 0.250
Pr 0.346 0.821 0.250
Pr 0.654 0.179 0.750
Pr 0.966 0.565 0.750
Er 0.170 0.155 0.047
Er 0.172 0.154 0.453
Er 0.500 0.500 0.500
Er 0.828 0.846 0.547
Er 0.830 0.845 0.953
Tm 0.500 0.500 0.000
! M_tot, μB/cell: 0.0
! Fermi-level density of states, states/eV per cell: 13.57
! Energy of formation, meV/atom: 193

[10]
! Pr6ErTm12 | Alexandria via LeMat-Bulk | PBE | relaxed; values from VASP
&SYSTEM
  ibrav = 0, nat = 19, ntyp = 3
/
ATOMIC_SPECIES
Pr 140.91 Pr.upf
Er 167.26 Er.upf
Tm 168.93 Tm.upf
CELL_PARAMETERS angstrom
6.603 3.812 4.196
-6.603 3.812 4.196
0.000 -7.624 4.196
ATOMIC_POSITIONS crystal
Pr 0.156 0.598 0.598
Pr 0.402 0.402 0.844
Pr 0.402 0.844 0.402
Pr 0.598 0.156 0.598
Pr 0.598 0.598 0.156
Pr 0.844 0.402 0.402
Er 0.500 0.500 0.500
Tm 0.000 0.255 0.745
Tm 0.000 0.745 0.255
Tm 0.145 0.145 0.420
Tm 0.145 0.420 0.145
Tm 0.255 0.000 0.745
Tm 0.255 0.745 0.000
Tm 0.420 0.145 0.145
Tm 0.580 0.855 0.855
Tm 0.745 0.000 0.255
Tm 0.745 0.255 0.000
Tm 0.855 0.580 0.855
Tm 0.855 0.855 0.580
! M_tot, μB/cell: 0.0
! Fermi-level density of states, states/eV per cell: 30.16
! Energy of formation, meV/atom: 225

[11]
! Pr3Er3Tm4 | Alexandria via LeMat-Bulk | PBE | relaxed; values from VASP
&SYSTEM
  ibrav = 0, nat = 10, ntyp = 3
/
ATOMIC_SPECIES
Pr 140.91 Pr.upf
Er 167.26 Er.upf
Tm 168.93 Tm.upf
CELL_PARAMETERS angstrom
3.664 0.000 0.000
0.000 6.639 6.683
0.000 -6.639 6.683
ATOMIC_POSITIONS crystal
Pr 0.000 0.000 0.000
Pr 0.000 0.498 0.847
Pr 0.000 0.847 0.498
Er 0.000 0.347 0.347
Er 0.500 0.176 0.666
Er 0.500 0.666 0.176
Tm 0.500 0.053 0.300
Tm 0.500 0.300 0.053
Tm 0.500 0.547 0.547
Tm 0.500 0.798 0.798
! M_tot, μB/cell: 0.0
! Fermi-level density of states, states/eV per cell: 7.68
! Energy of formation, meV/atom: 100

[12]
! Pr2Er4Tm | Alexandria via LeMat-Bulk | PBE | relaxed; values from VASP
&SYSTEM
  ibrav = 0, nat = 14, ntyp = 3
/
ATOMIC_SPECIES
Pr 140.91 Pr.upf
Er 167.26 Er.upf
Tm 168.93 Tm.upf
CELL_PARAMETERS angstrom
-4.868 4.868 4.884
4.868 -4.868 4.884
4.868 4.868 -4.884
ATOMIC_POSITIONS crystal
Pr 0.002 0.125 0.377
Pr 0.375 0.998 0.123
Pr 0.748 0.625 0.623
Pr 0.875 0.252 0.877
Er 0.127 0.039 0.750
Er 0.127 0.539 0.750
Er 0.289 0.377 0.250
Er 0.461 0.211 0.588
Er 0.623 0.873 0.412
Er 0.623 0.873 0.912
Er 0.789 0.377 0.250
Er 0.961 0.711 0.088
Tm 0.250 0.750 0.500
Tm 0.500 0.500 0.000
! M_tot, μB/cell: 0.0
! Fermi-level density of states, states/eV per cell: 27.03
! Energy of formation, meV/atom: 276